VASP calculation (PBE-GGA) on a relaxed structure of YTe2.

Cell: 8.5883 8.5883 5.1559 Å, 90.00 90.00 153.43°
Positions (direct):
Y (0.8997, 0.1003, 0.2500)
Te (0.7533, 0.2467, 0.7500)
Te (0.5637, 0.4363, 0.2500)
Te (0.4363, 0.5637, 0.7500)
Y (0.1003, 0.8997, 0.7500)
Te (0.2467, 0.7533, 0.2500)

Output
Formation energy without anion corrections (eV/atom): -0.963

=====

VASP calculation (PBE-GGA) on a relaxed structure of PrHoSnPd.

Cell: 5.2570 5.2570 5.2570 Å, 60.00 60.00 60.00°
Positions (direct):
Sn (0.2500, 0.2500, 0.2500)
Pr (0.5000, 0.5000, 0.5000)
Pd (0.7500, 0.7500, 0.7500)
Ho (0.0000, 0.0000, 0.0000)

Output
Formation energy (eV per formula unit): -2.759

=====

VASP calculation (PBE-GGA) on a relaxed structure of Y2FeHPb.

Cell: 5.0224 5.0224 3.8446 Å, 90.00 90.00 90.00°
Each line ends with the local moment (μB).
Positions (direct):
Y (0.5000, 0.0000, 0.0000)  -0.25
H (0.0000, 0.0000, 0.0000)  -0.01
Pb (0.5000, 0.5000, 0.5000)  0.03
Y (0.0000, 0.5000, 0.0000)  -0.25
Fe (0.0000, 0.0000, 0.5000)  2.16

Output
Total DFT energy (no corrections) (eV/atom): -5.925

=====

VASP calculation (PBE-GGA) on a relaxed structure of NaSr3Pd.

Cell: 5.1610 6.3068 6.3068 Å, 76.24 90.00 90.00°
Positions (direct):
Sr (0.0000, 0.1191, 0.8809)
Pd (0.5000, 0.8602, 0.1398)
Na (0.0000, 0.6841, 0.3159)
Sr (0.5000, 0.2763, 0.3118)
Sr (0.5000, 0.6882, 0.7237)

Output
Formation energy (eV per formula unit): -0.868
ΔE to the lowest computed polymorph (meV/atom): 112.2

=====

What did the second record say?
VASP calculation (PBE-GGA) on a relaxed structure of PrHoSnPd.

Cell: 5.2570 5.2570 5.2570 Å, 60.00 60.00 60.00°
Positions (direct):
Sn (0.2500, 0.2500, 0.2500)
Pr (0.5000, 0.5000, 0.5000)
Pd (0.7500, 0.7500, 0.7500)
Ho (0.0000, 0.0000, 0.0000)

Output
Formation energy (eV per formula unit): -2.759

=====

> What is the formula in the second record?

PrHoSnPd